Entry 1:
A plane-wave DFT calculation with PBE was carried out for a geometry-optimized MnBOsAu2 structure.

```
5
Lattice="-0.294 -4.069 2.637 -0.163 -2.351 -3.645 4.845 -0.346 0.006" Properties=species:S:1:pos:R:3 pbc="T T T"
Os -0.082 -1.175 -1.823
B 2.194 -3.383 -0.501
Mn 0.000 0.000 0.000
Au 2.423 -0.173 0.003
Au -0.147 -2.034 1.318
```

Values from the calculation:
SG = P4/mmm (123)
E_tot = -23.315 eV per cell
DFT formation energy = 995 kJ/mol of formula units
Crystal system = tetragonal

=====

Entry 2:
A plane-wave DFT calculation with PBE was carried out for a geometry-optimized MnB2PbAu structure.

```
5
Lattice="-1.953 2.161 2.943 2.551 -2.802 3.750 3.067 2.782 -0.008" Properties=species:S:1:pos:R:3 pbc="T T T"
Pb 1.833 1.071 3.343
B 1.533 1.391 -0.004
B -0.976 1.081 1.471
Mn 1.276 -1.401 1.875
Au 0.000 0.000 0.000
```

Values from the calculation:
SG = P4/mmm (123)
E_tot = -23.853 eV per cell
DFT formation energy = 546 kJ/mol of formula units
Crystal system = tetragonal

=====

Entry 3:
A plane-wave DFT calculation with PBE was carried out for a geometry-optimized MnBPb2Au structure.

```
5
Lattice="-4.678 -0.612 2.017 1.930 -2.784 3.633 0.683 4.205 2.860" Properties=species:S:1:pos:R:3 pbc="T T T"
Pb 0.341 2.102 1.430
Pb -2.339 -0.306 1.008
B -1.033 0.404 4.255
Mn 0.000 0.000 0.000
Au 0.965 -1.392 1.816
```

Values from the calculation:
SG = P4/mmm (123)
E_tot = -20.098 eV per cell
DFT formation energy = 622 kJ/mol of formula units
Crystal system = tetragonal

=====

Entry 4:
A plane-wave DFT calculation with PBE was carried out for a geometry-optimized MnRe2BAu structure.

```
5
Lattice="4.957 0.000 0.000 0.000 4.810 0.000 0.000 0.000 4.957" Properties=species:S:1:pos:R:3 pbc="T T T"
Re 0.000 0.000 2.479
Re 2.479 0.000 0.000
B 2.479 2.405 2.479
Mn 0.000 2.405 0.000
Au 0.000 0.000 0.000
```

Values from the calculation:
SG = P4/mmm (123)
E_tot = -28.314 eV per cell
DFT formation energy = 1515 kJ/mol of formula units
Crystal system = tetragonal

=====

Entry 5:
A plane-wave DFT calculation with PBE was carried out for a geometry-optimized Mn2B2Rh5Au structure.

```
20
Lattice="-1.232 -0.570 2.614 4.350 -8.543 0.187 7.545 3.938 4.416" Properties=species:S:1:pos:R:3 pbc="T T T"
Mn 4.299 -5.094 0.915
Mn 7.595 0.489 3.687
Mn 3.202 -0.260 1.453
Mn 8.693 -4.345 3.150
B 5.259 1.394 2.783
B 6.636 -5.998 1.819
B 9.320 -1.893 3.980
B 2.574 -2.712 0.622
Rh 0.900 -1.941 1.660
Rh 9.762 -3.234 5.556
Rh 5.528 2.160 4.736
Rh 5.784 -4.798 3.339
Rh 5.134 -7.334 2.480
Rh 4.879 -0.377 3.877
Rh 7.345 -2.298 4.620
Rh 3.317 -2.877 2.596
Rh 1.559 -4.556 1.400
Rh 3.156 1.684 3.515
Au 0.000 0.000 0.000
Au 5.947 -2.302 2.301
```

Values from the calculation:
SG = P4/mbm (127)
E_tot = -147.563 eV per cell
DFT formation energy = -198 kJ/mol of formula units
Crystal system = tetragonal

=====

Entry 6:
A plane-wave DFT calculation with PBE was carried out for a geometry-optimized Mn2SiBAu structure.

```
5
Lattice="4.527 0.000 0.000 0.000 4.611 0.000 0.000 0.000 4.527" Properties=species:S:1:pos:R:3 pbc="T T T"
Si 0.000 0.000 0.000
Mn 0.000 0.000 2.264
Mn 2.264 0.000 0.000
Au 0.000 2.305 0.000
B 2.264 2.305 2.264
```

Values from the calculation:
SG = P4/mmm (123)
E_tot = -27.294 eV per cell
Crystal system = tetragonal

=====

What did the fifth record say?
A plane-wave DFT calculation with PBE was carried out for a geometry-optimized Mn2B2Rh5Au structure.

```
20
Lattice="-1.232 -0.570 2.614 4.350 -8.543 0.187 7.545 3.938 4.416" Properties=species:S:1:pos:R:3 pbc="T T T"
Mn 4.299 -5.094 0.915
Mn 7.595 0.489 3.687
Mn 3.202 -0.260 1.453
Mn 8.693 -4.345 3.150
B 5.259 1.394 2.783
B 6.636 -5.998 1.819
B 9.320 -1.893 3.980
B 2.574 -2.712 0.622
Rh 0.900 -1.941 1.660
Rh 9.762 -3.234 5.556
Rh 5.528 2.160 4.736
Rh 5.784 -4.798 3.339
Rh 5.134 -7.334 2.480
Rh 4.879 -0.377 3.877
Rh 7.345 -2.298 4.620
Rh 3.317 -2.877 2.596
Rh 1.559 -4.556 1.400
Rh 3.156 1.684 3.515
Au 0.000 0.000 0.000
Au 5.947 -2.302 2.301
```

Values from the calculation:
SG = P4/mbm (127)
E_tot = -147.563 eV per cell
DFT formation energy = -198 kJ/mol of formula units
Crystal system = tetragonal